MnSO6, optimized geometry, DFT GGA+U; total energy = -5.689 eV/atom; calculated volume = 93.4 Å³ per cell
1.0
5.243 -0.846 -0.075
-2.736 4.552 -0.075
-0.533 -0.789 4.364
O Mn S
6 1 1
Direct
0.737 0.737 0.273 O
0.829 0.590 0.716 O
0.263 0.263 0.727 O
0.171 0.410 0.284 O
0.590 0.829 0.716 O
0.410 0.171 0.284 O
0.000 0.000 0.000 Mn
0.500 0.500 0.500 S